BaSe2Cl2 after structural relaxation. Source: Alexandria via LeMat-Bulk, functional PBE.

## Properties
Spin magnetization (μB/f.u.): 0.00
Uncorrected energy (eV per atom): -3.792
Formation energy from raw total energies (eV/atom): -1.27

Cell lengths 3.815, 3.815, 23.886 Å; angles 90.00, 90.00, 90.00 degrees
Space group I4/mmm (No. 139)
Inequivalent atoms, fractional coordinates:
Ba (0.000, 0.000, 0.000) (multiplicity 2)
Se (0.000, 0.500, 0.250) (multiplicity 4)
Cl (0.000, 0.000, 0.430) (multiplicity 4)


Ba2SeCl after structural relaxation. Source: Alexandria via LeMat-Bulk, functional PBE.

## Properties
Spin magnetization (μB/f.u.): 0.00
Uncorrected energy (eV per atom): -3.324
Formation energy from raw total energies (eV/atom): -1.03

Cell lengths 7.896, 7.896, 7.896 Å; angles 90.00, 90.00, 90.00 degrees
Space group F-43m (No. 216)
Inequivalent atoms, fractional coordinates:
Ba (0.000, 0.000, 0.000) (multiplicity 4)
Ba (0.250, 0.250, 0.250) (multiplicity 4)
Se (0.000, 0.000, 0.500) (multiplicity 4)
Cl (0.250, 0.250, 0.750) (multiplicity 4)


BaSe3Cl after structural relaxation. Source: Alexandria via LeMat-Bulk, functional PBE.

## Properties
Spin magnetization (μB/f.u.): 5.00
Uncorrected energy (eV per atom): -2.570
Formation energy from raw total energies (eV/atom): 0.28

Cell lengths 6.478, 6.478, 6.478 Å; angles 90.00, 90.00, 90.00 degrees
Space group Pm-3m (No. 221)
Inequivalent atoms, fractional coordinates:
Ba (0.000, 0.000, 0.000) (multiplicity 1)
Se (0.000, 0.000, 0.500) (multiplicity 3)
Cl (0.500, 0.500, 0.500) (multiplicity 1)


Ba2SeCl2 after structural relaxation. Source: Alexandria via LeMat-Bulk, functional PBE.

## Properties
Spin magnetization (μB/f.u.): 0.00
Uncorrected energy (eV per atom): -4.282
Formation energy from raw total energies (eV/atom): -2.08

Cell lengths 8.665, 8.665, 4.440 Å; angles 90.00, 90.00, 90.00 degrees
Space group P4/mbm (No. 127)
Inequivalent atoms, fractional coordinates:
Ba (0.179, 0.321, 0.000) (multiplicity 4)
Se (0.000, 0.000, 0.000) (multiplicity 2)
Cl (0.132, 0.632, 0.500) (multiplicity 4)


Ba4Se2Cl3 after structural relaxation. Source: Alexandria via LeMat-Bulk, functional PBE.

## Properties
Spin magnetization (μB/f.u.): 0.00
Uncorrected energy (eV per atom): -4.370
Formation energy from raw total energies (eV/atom): -2.13

Cell lengths 8.174, 4.719, 17.628 Å; angles 90.00, 90.09, 90.00 degrees
Space group C2/m (No. 12)
Inequivalent atoms, fractional coordinates:
Ba (0.001, 0.000, 0.318) (multiplicity 4)
Ba (0.166, 0.500, 0.895) (multiplicity 4)
Se (0.167, 0.500, 0.208) (multiplicity 4)
Cl (0.000, 0.000, 0.000) (multiplicity 2)
Cl (0.165, 0.500, 0.600) (multiplicity 4)


Ba6TeSe3Cl2 after structural relaxation. Source: Alexandria via LeMat-Bulk, functional PBE.

## Properties
Spin magnetization (μB/f.u.): 0.00
Uncorrected energy (eV per atom): -4.346
Formation energy from raw total energies (eV/atom): -1.94

Cell lengths 8.157, 14.111, 8.215 Å; angles 90.00, 109.33, 90.00 degrees
Space group C2/m (No. 12)
Inequivalent atoms, fractional coordinates:
Ba (0.244, 0.168, 0.236) (multiplicity 8)
Ba (0.248, 0.500, 0.236) (multiplicity 4)
Te (0.000, 0.500, 0.500) (multiplicity 2)
Se (0.000, 0.000, 0.000) (multiplicity 2)
Se (0.000, 0.335, 0.000) (multiplicity 4)
Cl (0.000, 0.167, 0.500) (multiplicity 4)


Ba6Te3SeCl2 after structural relaxation. Source: Alexandria via LeMat-Bulk, functional PBE.

## Properties
Spin magnetization (μB/f.u.): 0.00
Uncorrected energy (eV per atom): -4.189
Formation energy from raw total energies (eV/atom): -1.84

Cell lengths 8.388, 14.510, 8.245 Å; angles 90.00, 109.77, 90.00 degrees
Space group C2/m (No. 12)
Inequivalent atoms, fractional coordinates:
Ba (0.243, 0.163, 0.241) (multiplicity 8)
Ba (0.245, 0.000, 0.757) (multiplicity 4)
Te (0.000, 0.169, 0.500) (multiplicity 4)
Te (0.000, 0.500, 0.500) (multiplicity 2)
Se (0.000, 0.000, 0.000) (multiplicity 2)
Cl (0.000, 0.334, 0.000) (multiplicity 4)


Ba6Te3Se2Cl after structural relaxation. Source: Alexandria via LeMat-Bulk, functional PBE.

## Properties
Spin magnetization (μB/f.u.): 0.00
Uncorrected energy (eV per atom): -4.363
Formation energy from raw total energies (eV/atom): -1.88

Cell lengths 21.083, 4.848, 9.674 Å; angles 90.00, 102.94, 90.00 degrees
Space group C2/m (No. 12)
Inequivalent atoms, fractional coordinates:
Ba (0.005, 0.000, 0.253) (multiplicity 4)
Ba (0.168, 0.500, 0.095) (multiplicity 4)
Ba (0.170, 0.500, 0.575) (multiplicity 4)
Te (0.000, 0.500, 0.500) (multiplicity 2)
Te (0.164, 0.000, 0.835) (multiplicity 4)
Se (0.165, 0.000, 0.331) (multiplicity 4)
Cl (0.000, 0.500, 0.000) (multiplicity 2)


BaYSe2Cl after structural relaxation. Source: Alexandria via LeMat-Bulk, functional PBE.

## Properties
Spin magnetization (μB/f.u.): 0.00
Uncorrected energy (eV per atom): -5.405
Formation energy from raw total energies (eV/atom): -1.96

Cell lengths 5.559, 5.559, 5.197 Å; angles 90.00, 90.00, 90.00 degrees
Space group P4/mmm (No. 123)
Inequivalent atoms, fractional coordinates:
Ba (0.000, 0.000, 0.000) (multiplicity 1)
Y (0.500, 0.500, 0.500) (multiplicity 1)
Se (0.000, 0.500, 0.500) (multiplicity 2)
Cl (0.500, 0.500, 0.000) (multiplicity 1)


Ba3SiCl after structural relaxation. Source: Alexandria via LeMat-Bulk, functional PBE.

## Properties
Spin magnetization (μB/f.u.): 0.00
Uncorrected energy (eV per atom): -3.132
Formation energy from raw total energies (eV/atom): -0.52

Cell lengths 5.890, 5.890, 5.890 Å; angles 90.00, 90.00, 90.00 degrees
Space group Pm-3m (No. 221)
Inequivalent atoms, fractional coordinates:
Ba (0.000, 0.000, 0.500) (multiplicity 3)
Si (0.500, 0.500, 0.500) (multiplicity 1)
Cl (0.000, 0.000, 0.000) (multiplicity 1)


BaSiCl2 after structural relaxation. Source: Alexandria via LeMat-Bulk, functional PBE.

## Properties
Spin magnetization (μB/f.u.): 2.00
Uncorrected energy (eV per atom): -3.325
Formation energy from raw total energies (eV/atom): -0.57

Cell lengths 7.722, 7.722, 7.722 Å; angles 90.00, 90.00, 90.00 degrees
Space group F-43m (No. 216)
Inequivalent atoms, fractional coordinates:
Ba (0.000, 0.000, 0.000) (multiplicity 4)
Si (0.250, 0.250, 0.250) (multiplicity 4)
Cl (0.000, 0.000, 0.500) (multiplicity 4)
Cl (0.250, 0.250, 0.750) (multiplicity 4)


BaSiCl2 after structural relaxation. Source: Alexandria via LeMat-Bulk, functional PBE.

## Properties
Spin magnetization (μB/f.u.): 2.01
Uncorrected energy (eV per atom): -3.552
Formation energy from raw total energies (eV/atom): -0.79

Cell lengths 4.7000, 4.7000, 28.1781 Å; angles 90.00, 90.00, 120.00 degrees
Space group R-3m (No. 166, hexagonal axes)
Inequivalent atoms, fractional coordinates:
Ba (0.0000, 0.0000, 0.0000) (multiplicity 3)
Si (0.0000, 0.0000, 0.5000) (multiplicity 3)
Cl (0.0000, 0.0000, 0.2814) (multiplicity 6)